First-principles (PBE) data for crystalline NdHfGa5Pd2 at its relaxed geometry, as listed in Alexandria.

Lattice parameters (Å, degrees): 4.8578 4.8578 7.5837 90.00 90.00 90.00
Last column: nearest neighbours and their distance in Å.
Space group P4/mmm (No. 123)
Unique sites:
Nd (0.0000, 0.0000, 0.0000) (multiplicity 1)  12 Ga 3.25-3.44
Hf (0.0000, 0.0000, 0.5000) (multiplicity 1)  8 Ga 2.93
Ga (0.0000, 0.5000, 0.2848) (multiplicity 4)  2 Pd 2.45
Ga (0.5000, 0.5000, 0.0000) (multiplicity 1)  2 Pd 2.48
Pd (0.5000, 0.5000, 0.3268) (multiplicity 2)  5 Ga 2.45-2.48, 1 Pd 2.63

## Properties
As for the magnetic moment: 0.00 μB/f.u. As for the density of states at the Fermi level: 4.4 states/eV per cell. The formation energy comes out at -30.8 kJ per mole of atoms.